No. 1
# AcTbCo PBE optimized geometry
data_AcTbCo
_cell_length_a 7.175
_cell_length_b 4.146
_cell_length_c 12.444
_cell_angle_alpha 90.00
_cell_angle_beta 101.04
_cell_angle_gamma 90.00
_symmetry_space_group_name_H-M 'C 1 2/m 1'
_symmetry_Int_Tables_number 12
_symmetry_space_group_name_Hall '-C 2y'
loop_
_atom_site_label
_atom_site_fract_x
_atom_site_fract_y
_atom_site_fract_z
Ac1 0.114 0.000 0.345
Tb1 0.204 0.500 0.111
Co1 0.094 0.500 0.783
# Formation energy from the elements ... -4.7 kJ/mol of atoms
# DOS(E_F) ... 0.805 states/eV/atom
# Polymorph energy (0 for the lowest one) ... 0.024 eV/atom

No. 2
# NaRuI2O PBE optimized geometry
data_NaRuI2O
_cell_length_a 5.693
_cell_length_b 5.693
_cell_length_c 3.782
_cell_angle_alpha 90.00
_cell_angle_beta 90.00
_cell_angle_gamma 90.00
_symmetry_space_group_name_H-M 'P 4/m m m'
_symmetry_Int_Tables_number 123
_symmetry_space_group_name_Hall '-P 4 2'
loop_
_atom_site_label
_atom_site_fract_x
_atom_site_fract_y
_atom_site_fract_z
Na1 0.000 0.000 0.000
Ru1 0.500 0.500 0.500
I1 0.000 0.500 0.500
O1 0.500 0.500 0.000
# DOS(E_F) ... 0.575 states/eV/atom
# Raw formation energy ... -575.9 meV/atom
# Polymorph energy (0 for the lowest one) ... 0.000 eV/atom

No. 3
# BaReSe PBE optimized geometry
data_BaReSe
_cell_length_a 3.354
_cell_length_b 3.354
_cell_length_c 12.425
_cell_angle_alpha 90.00
_cell_angle_beta 90.00
_cell_angle_gamma 90.00
_symmetry_space_group_name_H-M 'I 4 m m'
_symmetry_Int_Tables_number 107
_symmetry_space_group_name_Hall 'I 4 -2'
loop_
_atom_site_label
_atom_site_fract_x
_atom_site_fract_y
_atom_site_fract_z
Ba1 0.000 0.000 0.000
Re1 0.000 0.000 0.300
Se1 0.000 0.000 0.716
# DOS(E_F) ... 1.294 states/eV/atom
# Raw formation energy ... 243.8 meV/atom
# Polymorph energy (0 for the lowest one) ... 0.109 eV/atom

No. 4
# Zr2ZnSi PBE optimized geometry
data_Zr2ZnSi
_cell_length_a 4.083
_cell_length_b 4.966
_cell_length_c 7.499
_cell_angle_alpha 90.00
_cell_angle_beta 90.00
_cell_angle_gamma 90.00
_symmetry_space_group_name_H-M 'C m m 2'
_symmetry_Int_Tables_number 35
_symmetry_space_group_name_Hall 'C 2 -2'
loop_
_atom_site_label
_atom_site_fract_x
_atom_site_fract_y
_atom_site_fract_z
Zr1 0.000 0.000 0.000
Zr2 0.000 0.500 0.314
Zn1 0.000 0.500 0.740
Si1 0.000 0.000 0.555
# DOS(E_F) ... 0.950 states/eV/atom
# Raw formation energy ... -149.7 meV/atom